(1)
## CsNaHg2Au (PBE-GGA)

Data for a relaxed structure of CsNaHg2Au.

a = 5.823 Å, b = 5.823 Å, c = 5.709 Å
α = 90.00°, β = 90.00°, γ = 90.00°
Space group P4/mmm (No. 123)
Symmetry-distinct sites (fractional):
Cs: 0.000 0.000 0.000 [1 per cell]
Na: 0.500 0.500 0.500 [1 per cell]
Hg: 0.000 0.500 0.500 [2 per cell]
Au: 0.500 0.500 0.000 [1 per cell]

The formation energy is -0.123 eV/atom.



(2)
## Pr2TmMg3 (PBE-GGA)

Data for a relaxed structure of Pr2TmMg3.

a = 3.842 Å, b = 3.842 Å, c = 11.663 Å
α = 90.00°, β = 90.00°, γ = 90.00°
Space group P4/mmm (No. 123)
Symmetry-distinct sites (fractional):
Pr: 0.000 0.000 0.173 [2 per cell]
Tm: 0.000 0.000 0.500 [1 per cell]
Mg: 0.500 0.500 0.000 [1 per cell]
Mg: 0.500 0.500 0.346 [2 per cell]

The formation energy is -0.091 eV/atom.



(3)
## Ca2Ac12Tm (PBE-GGA)

Data for a relaxed structure of Ca2Ac12Tm.

a = 7.202 Å, b = 7.202 Å, c = 27.898 Å
α = 90.00°, β = 90.00°, γ = 90.00°
Space group P4/nbm (No. 125, origin choice 2)
Symmetry-distinct sites (fractional):
Ca: 0.250 0.750 0.230 [4 per cell]
Ac: 0.063 0.563 0.395 [8 per cell]
Ac: 0.079 0.579 0.061 [8 per cell]
Ac: 0.250 0.250 0.163 [4 per cell]
Ac: 0.250 0.250 0.293 [4 per cell]
Tm: 0.250 0.750 0.500 [2 per cell]

The formation energy is 0.357 eV/atom.



(4)
## Pa2Ni3Ge4Pd (PBE-GGA)

Data for a relaxed structure of Pa2Ni3Ge4Pd.

a = 4.183 Å, b = 4.183 Å, c = 9.527 Å
α = 90.00°, β = 90.00°, γ = 90.00°
Space group P-4m2 (No. 115)
Symmetry-distinct sites (fractional):
Pa: 0.000 0.500 0.248 [2 per cell]
Ni: 0.000 0.500 0.881 [2 per cell]
Ni: 0.500 0.500 0.500 [1 per cell]
Ge: 0.000 0.000 0.000 [1 per cell]
Ge: 0.000 0.500 0.640 [2 per cell]
Ge: 0.500 0.500 0.000 [1 per cell]
Pd: 0.000 0.000 0.500 [1 per cell]

The formation energy is -0.605 eV/atom.



(5)
## SbTeIr2 (PBE-GGA)

Data for a relaxed structure of SbTeIr2.

a = 4.006 Å, b = 4.006 Å, c = 9.349 Å
α = 90.00°, β = 90.00°, γ = 90.00°
Space group I-4m2 (No. 119)
Symmetry-distinct sites (fractional):
Sb: 0.000 0.000 0.000 [2 per cell]
Te: 0.000 0.500 0.750 [2 per cell]
Ir: 0.000 0.000 0.500 [2 per cell]
Ir: 0.000 0.500 0.250 [2 per cell]

For the energy relative to the elements, uncorrected, the calculation gives 1.9 eV/f.u.



(6)
## Ca2OsI2 (PBE-GGA)

Data for a relaxed structure of Ca2OsI2.

a = 7.775 Å, b = 7.775 Å, c = 4.311 Å
α = 90.00°, β = 90.00°, γ = 90.00°
Space group P4/mbm (No. 127)
Symmetry-distinct sites (fractional):
Ca: 0.163 0.337 0.000 [4 per cell]
Os: 0.000 0.000 0.500 [2 per cell]
I: 0.157 0.657 0.500 [4 per cell]

For the energy relative to the elements, uncorrected, the calculation gives 0.8 eV/f.u.



(7)
## P2IrAu (PBE-GGA)

Data for a relaxed structure of P2IrAu.

a = 3.084 Å, b = 4.089 Å, c = 6.066 Å
α = 98.02°, β = 97.02°, γ = 107.86°
Space group P1 (No. 1)
Symmetry-distinct sites (fractional):
P: 0.000 0.000 0.000 [1 per cell]
P: 0.053 0.346 0.593 [1 per cell]
Ir: 0.403 0.951 0.697 [1 per cell]
Au: 0.061 0.566 0.242 [1 per cell]

The formation energy is -0.116 eV/atom.



(8)
## SrBe3Ge3 (PBE-GGA)

Data for a relaxed structure of SrBe3Ge3.

a = 6.417 Å, b = 6.417 Å, c = 6.417 Å
α = 90.00°, β = 90.00°, γ = 90.00°
Space group Pm-3n (No. 223)
Symmetry-distinct sites (fractional):
Sr: 0.000 0.000 0.000 [2 per cell]
Be: 0.000 0.250 0.500 [6 per cell]
Ge: 0.000 0.500 0.250 [6 per cell]

The formation energy is 0.087 eV/atom.



(9)
## KScB2 (PBE-GGA)

Data for a relaxed structure of KScB2.

a = 4.439 Å, b = 4.439 Å, c = 16.706 Å
α = 90.00°, β = 90.00°, γ = 90.00°
Space group I4_1/amd (No. 141, origin choice 2)
Symmetry-distinct sites (fractional):
K: 0.000 0.250 0.375 [4 per cell]
Sc: 0.000 0.250 0.875 [4 per cell]
B: 0.000 0.000 0.000 [8 per cell]

The formation energy is 1.196 eV/atom.



(10)
## LaNiRh2 (PBE-GGA)

Data for a relaxed structure of LaNiRh2.

a = 4.105 Å, b = 4.105 Å, c = 17.999 Å
α = 90.00°, β = 90.00°, γ = 90.00°
Space group I-42d (No. 122)
Symmetry-distinct sites (fractional):
La: 0.000 0.000 0.000 [4 per cell]
Ni: 0.000 0.000 0.500 [4 per cell]
Rh: 0.187 0.250 0.625 [8 per cell]

The formation energy is -0.090 eV/atom.



(11)
## Ir3Ru2 (PBE-GGA)

Data for a relaxed structure of Ir3Ru2.

a = 9.146 Å, b = 4.760 Å, c = 7.025 Å
α = 90.00°, β = 111.00°, γ = 90.00°
Space group C2/c (No. 15)
Symmetry-distinct sites (fractional):
Ir: 0.000 0.166 0.250 [4 per cell]
Ir: 0.101 0.333 0.951 [8 per cell]
Ru: 0.201 0.167 0.651 [8 per cell]

The formation energy is -0.024 eV/atom.



(12)
## Ti2GaPd4 (PBE-GGA)

Data for a relaxed structure of Ti2GaPd4.

a = 7.065 Å, b = 7.124 Å, c = 8.873 Å
α = 90.00°, β = 90.00°, γ = 90.00°
Space group I2_12_12_1 (No. 24)
Symmetry-distinct sites (fractional):
Ti: 0.147 0.000 0.250 [4 per cell]
Ti: 0.250 0.319 0.500 [4 per cell]
Ga: 0.000 0.250 0.723 [4 per cell]
Pd: 0.060 0.029 0.955 [8 per cell]
Pd: 0.188 0.339 0.163 [8 per cell]

The formation energy is -0.504 eV/atom.



(13)
## Li3CoN (PBE-GGA)

Data for a relaxed structure of Li3CoN.

a = 3.883 Å, b = 3.883 Å, c = 3.883 Å
α = 90.00°, β = 90.00°, γ = 90.00°
Space group Pm-3m (No. 221)
Symmetry-distinct sites (fractional):
Li: 0.000 0.000 0.500 [3 per cell]
Co: 0.500 0.500 0.500 [1 per cell]
N: 0.000 0.000 0.000 [1 per cell]

For the energy relative to the elements, uncorrected, the calculation gives 1.7 eV/f.u.



(14)
## Pm5Sm2DyY (PBE-GGA)

Data for a relaxed structure of Pm5Sm2DyY.

a = 8.685 Å, b = 8.685 Å, c = 16.280 Å
α = 90.00°, β = 90.00°, γ = 90.00°
Space group I4/mcm (No. 140)
Symmetry-distinct sites (fractional):
Pm: 0.000 0.000 0.000 [4 per cell]
Pm: 0.211 0.289 0.141 [16 per cell]
Sm: 0.120 0.380 0.500 [8 per cell]
Dy: 0.000 0.500 0.250 [4 per cell]
Y: 0.000 0.000 0.250 [4 per cell]

The formation energy is 0.280 eV/atom.



(15)
## RbO2 (PBE-GGA)

Data for a relaxed structure of RbO2.

a = 4.706 Å, b = 6.438 Å, c = 3.678 Å
α = 90.00°, β = 90.00°, γ = 90.00°
Space group Cmmm (No. 65)
Symmetry-distinct sites (fractional):
Rb: 0.000 0.000 0.000 [2 per cell]
O: 0.000 0.395 0.500 [4 per cell]

For the energy relative to the elements, uncorrected, the calculation gives -2.5 eV/f.u.



(16)
## CaBeMo (PBE-GGA)

Data for a relaxed structure of CaBeMo.

a = 6.516 Å, b = 6.516 Å, c = 6.516 Å
α = 90.00°, β = 90.00°, γ = 90.00°
Space group F-43m (No. 216)
Symmetry-distinct sites (fractional):
Ca: 0.000 0.000 0.000 [4 per cell]
Be: 0.250 0.250 0.750 [4 per cell]
Mo: 0.250 0.250 0.250 [4 per cell]

The formation energy is 1.848 eV/atom.



(17)
## TlPSeS2 (PBE-GGA)

Data for a relaxed structure of TlPSeS2.

a = 5.016 Å, b = 5.016 Å, c = 5.288 Å
α = 90.00°, β = 90.00°, γ = 90.00°
Space group P4/mmm (No. 123)
Symmetry-distinct sites (fractional):
Tl: 0.000 0.000 0.000 [1 per cell]
P: 0.000 0.000 0.500 [1 per cell]
Se: 0.500 0.500 0.500 [1 per cell]
S: 0.000 0.500 0.000 [2 per cell]

For the energy relative to the elements, uncorrected, the calculation gives 6.4 eV/f.u.



(18)
## AcSc3Rh (PBE-GGA)

Data for a relaxed structure of AcSc3Rh.

a = 5.158 Å, b = 5.158 Å, c = 5.158 Å
α = 90.00°, β = 90.00°, γ = 90.00°
Space group Pm-3m (No. 221)
Symmetry-distinct sites (fractional):
Ac: 0.000 0.000 0.000 [1 per cell]
Sc: 0.000 0.500 0.500 [3 per cell]
Rh: 0.500 0.500 0.500 [1 per cell]

The formation energy is -0.313 eV/atom.



(19)
## NiHgCl2 (PBE-GGA)

Data for a relaxed structure of NiHgCl2.

a = 7.097 Å, b = 7.097 Å, c = 9.813 Å
α = 90.00°, β = 90.00°, γ = 90.00°
Space group I-42d (No. 122)
Symmetry-distinct sites (fractional):
Ni: 0.000 0.000 0.000 [4 per cell]
Hg: 0.000 0.000 0.500 [4 per cell]
Cl: 0.061 0.250 0.125 [8 per cell]

For the energy relative to the elements, uncorrected, the calculation gives -1.0 eV/f.u.



(20)
## Rb2Sn2Hg (PBE-GGA)

Data for a relaxed structure of Rb2Sn2Hg.

a = 10.667 Å, b = 7.141 Å, c = 10.486 Å
α = 90.00°, β = 92.50°, γ = 90.00°
Space group C2/c (No. 15)
Symmetry-distinct sites (fractional):
Rb: 0.158 0.138 0.170 [8 per cell]
Sn: 0.119 0.361 0.513 [8 per cell]
Hg: 0.000 0.348 0.750 [4 per cell]

The formation energy is -0.132 eV/atom.



(21)
## AcHOs (PBE-GGA)

Data for a relaxed structure of AcHOs.

a = 17.346 Å, b = 3.715 Å, c = 3.642 Å
α = 90.00°, β = 90.00°, γ = 90.00°
Space group Pnma (No. 62)
Symmetry-distinct sites (fractional):
Ac: 0.153 0.250 0.224 [4 per cell]
H: 0.195 0.750 0.724 [4 per cell]
Os: 0.000 0.250 0.723 [4 per cell]

The total energy comes out at -6.159 eV per atom.



(22)
## CdPWS2 (PBE-GGA)

Data for a relaxed structure of CdPWS2.

a = 4.662 Å, b = 4.662 Å, c = 5.528 Å
α = 90.00°, β = 90.00°, γ = 90.00°
Space group P4/mmm (No. 123)
Symmetry-distinct sites (fractional):
Cd: 0.000 0.000 0.000 [1 per cell]
P: 0.500 0.500 0.500 [1 per cell]
W: 0.000 0.000 0.500 [1 per cell]
S: 0.000 0.500 0.000 [2 per cell]

For the energy relative to the elements, uncorrected, the calculation gives 10.7 eV/f.u.



(23)
## HgMoRh2 (PBE-GGA)

Data for a relaxed structure of HgMoRh2.

a = 5.816 Å, b = 7.689 Å, c = 2.860 Å
α = 90.00°, β = 90.00°, γ = 90.00°
Space group Cmmm (No. 65)
Symmetry-distinct sites (fractional):
Hg: 0.000 0.000 0.000 [2 per cell]
Mo: 0.000 0.500 0.000 [2 per cell]
Rh: 0.250 0.250 0.500 [4 per cell]

The formation energy is 0.204 eV/atom.



Theoretical density for every record listed, in sequence, given in g/cm3: 6.468 5.051 6.823 10.310 14.028 6.679 10.551 4.180 2.132 8.836 18.114 8.792 2.660 6.907 3.501 3.482 4.722 5.625 4.438 5.069 11.837 5.411 13.043.
Calculated volume for every record listed, in sequence, given in Å³ per cell: 194 172 1447 167 150 261 71 264 329 303 286 447 59 1228 111 277 133 137 494 798 235 120 128.